DFT (GGA-PBE) results for a geometry-optimized Rb2CeVS4 structure.

a = 7.0712 Å, b = 7.0712 Å, c = 7.0712 Å
α = 116.75°, β = 116.75°, γ = 95.72°
Atoms (fractional coordinates):
1 Rb 0.0000 0.0000 0.0000
2 Rb 0.7500 0.2500 0.5000
3 Ce 0.5000 0.5000 0.0000
4 V 0.2500 0.7500 0.5000
5 S 0.2055 0.6404 0.1159
6 S 0.3596 0.4756 0.5652
7 S 0.5244 0.0896 0.8841
8 S 0.9104 0.7945 0.4348

Computed properties:
Its space group is I-4. Its crystal system is tetragonal. The calculation puts the formation energy without anion corrections at -1.212 eV per atom. As for the density of states at the Fermi level: 8.01 states/eV per cell.

DFT (GGA-PBE) results for a geometry-optimized Rb2Ce2VS6 structure.

a = 6.7716 Å, b = 6.7716 Å, c = 8.1903 Å
α = 98.20°, β = 98.20°, γ = 119.26°
Atoms (fractional coordinates):
1 Rb 0.1701 0.8299 0.0000
2 Rb 0.8299 0.1701 0.0000
3 Ce 0.3335 0.6665 0.5000
4 Ce 0.6665 0.3335 0.5000
5 V 0.0000 0.0000 0.5000
6 S 0.0626 0.3708 0.6832
7 S 0.2413 0.2413 0.3182
8 S 0.3708 0.0626 0.6832
9 S 0.6292 0.9374 0.3168
10 S 0.7587 0.7587 0.6818
11 S 0.9374 0.6292 0.3168

Computed properties:
Its space group is C2/m. Its crystal system is monoclinic. The calculation puts the formation energy without anion corrections at -1.508 eV per atom. As for the density of states at the Fermi level: 8.57 states/eV per cell.

DFT (GGA-PBE) results for a geometry-optimized Rb4Ce3YS8 structure.

a = 9.0881 Å, b = 9.0881 Å, c = 9.0881 Å
α = 55.17°, β = 55.17°, γ = 55.17°
Atoms (fractional coordinates):
1 Rb 0.0000 0.0000 0.0000
2 Rb 0.0000 0.5000 0.5000
3 Rb 0.5000 0.0000 0.5000
4 Rb 0.5000 0.5000 0.0000
5 Ce 0.0000 0.0000 0.5000
6 Ce 0.0000 0.5000 0.0000
7 Ce 0.5000 0.0000 0.0000
8 Y 0.5000 0.5000 0.5000
9 S 0.2322 0.2322 0.2322
10 S 0.2384 0.7279 0.7279
11 S 0.2721 0.2721 0.7616
12 S 0.2721 0.7616 0.2721
13 S 0.7279 0.2384 0.7279
14 S 0.7279 0.7279 0.2384
15 S 0.7616 0.2721 0.2721
16 S 0.7678 0.7678 0.7678

Computed properties:
Its space group is R-3m. Its crystal system is trigonal. The calculation puts the formation energy without anion corrections at -1.783 eV per atom. As for the density of states at the Fermi level: 18.53 states/eV per cell.

DFT (GGA-PBE) results for a geometry-optimized Rb2Ce2YS6 structure.

a = 7.1334 Å, b = 7.1334 Å, c = 8.1636 Å
α = 98.32°, β = 98.32°, γ = 119.89°
Atoms (fractional coordinates):
1 Rb 0.1667 0.8333 0.0000
2 Rb 0.8333 0.1667 0.0000
3 Ce 0.3342 0.6658 0.5000
4 Ce 0.6658 0.3342 0.5000
5 Y 0.0000 0.0000 0.5000
6 S 0.0591 0.3926 0.6861
7 S 0.2659 0.2659 0.3135
8 S 0.3926 0.0591 0.6861
9 S 0.6074 0.9409 0.3139
10 S 0.7341 0.7341 0.6865
11 S 0.9409 0.6074 0.3139

Computed properties:
Its space group is C2/m. Its crystal system is monoclinic. The calculation puts the formation energy without anion corrections at -1.842 eV per atom. As for the density of states at the Fermi level: 6.14 states/eV per cell.

DFT (GGA-PBE) results for a geometry-optimized Rb3Ce3YS8 structure.

a = 9.1336 Å, b = 9.1336 Å, c = 9.1336 Å
α = 54.12°, β = 54.12°, γ = 54.12°
Atoms (fractional coordinates):
1 Rb 0.0000 0.5000 0.5000
2 Rb 0.5000 0.0000 0.5000
3 Rb 0.5000 0.5000 0.0000
4 Ce 0.0000 0.0000 0.5000
5 Ce 0.0000 0.5000 0.0000
6 Ce 0.5000 0.0000 0.0000
7 Y 0.5000 0.5000 0.5000
8 S 0.2313 0.2313 0.2313
9 S 0.2334 0.7267 0.7267
10 S 0.2733 0.2733 0.7666
11 S 0.2733 0.7666 0.2733
12 S 0.7267 0.2334 0.7267
13 S 0.7267 0.7267 0.2334
14 S 0.7666 0.2733 0.2733
15 S 0.7687 0.7687 0.7687

Computed properties:
Its space group is R-3m. Its crystal system is trigonal. The calculation puts the formation energy without anion corrections at -1.826 eV per atom. As for the density of states at the Fermi level: 13.07 states/eV per cell.

DFT (GGA-PBE) results for a geometry-optimized Rb4CeY3S8 structure.

a = 9.0409 Å, b = 9.0409 Å, c = 9.0409 Å
α = 54.35°, β = 54.35°, γ = 54.35°
Atoms (fractional coordinates):
1 Rb 0.0000 0.0000 0.0000
2 Rb 0.0000 0.5000 0.5000
3 Rb 0.5000 0.0000 0.5000
4 Rb 0.5000 0.5000 0.0000
5 Ce 0.5000 0.5000 0.5000
6 Y 0.0000 0.0000 0.5000
7 Y 0.0000 0.5000 0.0000
8 Y 0.5000 0.0000 0.0000
9 S 0.2241 0.7347 0.7347
10 S 0.2306 0.2306 0.2306
11 S 0.2653 0.2653 0.7759
12 S 0.2653 0.7759 0.2653
13 S 0.7347 0.2241 0.7347
14 S 0.7347 0.7347 0.2241
15 S 0.7694 0.7694 0.7694
16 S 0.7759 0.2653 0.2653

Computed properties:
Its space group is R-3m. Its crystal system is trigonal. The calculation puts the formation energy without anion corrections at -1.831 eV per atom. As for the density of states at the Fermi level: 4.68 states/eV per cell.

DFT (GGA-PBE) results for a geometry-optimized Rb2CeZn2S4 structure.

a = 7.9539 Å, b = 7.9539 Å, c = 7.9847 Å
α = 109.13°, β = 109.13°, γ = 30.61°
Atoms (fractional coordinates):
1 Rb 0.1301 0.1301 0.0555
2 Rb 0.8699 0.8699 0.9445
3 Ce 0.0000 0.0000 0.5000
4 Zn 0.3276 0.3276 0.5133
5 Zn 0.6724 0.6724 0.4867
6 S 0.2047 0.2047 0.6538
7 S 0.4760 0.4760 0.7338
8 S 0.5240 0.5240 0.2662
9 S 0.7953 0.7953 0.3462

Computed properties:
Its space group is C2/m. Its crystal system is monoclinic. The calculation puts the formation energy without anion corrections at -1.117 eV per atom. As for the density of states at the Fermi level: 8.53 states/eV per cell.

DFT (GGA-PBE) results for a geometry-optimized Rb2CeZnS4 structure.

a = 7.0397 Å, b = 7.0397 Å, c = 7.0397 Å
α = 116.39°, β = 116.39°, γ = 96.37°
Atoms (fractional coordinates):
1 Rb 0.0000 0.0000 0.0000
2 Rb 0.7500 0.2500 0.5000
3 Ce 0.2500 0.7500 0.5000
4 Zn 0.5000 0.5000 0.0000
5 S 0.2241 0.6162 0.0776
6 S 0.3838 0.4614 0.6079
7 S 0.5386 0.1465 0.9224
8 S 0.8535 0.7759 0.3921

Computed properties:
Its space group is I-4. Its crystal system is tetragonal. The calculation puts the formation energy without anion corrections at -1.208 eV per atom.

DFT (GGA-PBE) results for a geometry-optimized Rb3Ce2ZnS6 structure.

a = 7.0901 Å, b = 7.0901 Å, c = 8.0069 Å
α = 98.50°, β = 98.50°, γ = 119.95°
Atoms (fractional coordinates):
1 Rb 0.0000 0.0000 0.0000
2 Rb 0.3341 0.6659 0.0000
3 Rb 0.6659 0.3341 0.0000
4 Ce 0.1667 0.8333 0.5000
5 Ce 0.8333 0.1667 0.5000
6 Zn 0.5000 0.5000 0.5000
7 S 0.1136 0.4368 0.3106
8 S 0.2391 0.2391 0.6897
9 S 0.4368 0.1136 0.3106
10 S 0.5632 0.8864 0.6894
11 S 0.7609 0.7609 0.3103
12 S 0.8864 0.5632 0.6894

Computed properties:
Its space group is C2/m. Its crystal system is monoclinic. The calculation puts the formation energy without anion corrections at -1.427 eV per atom. As for the density of states at the Fermi level: 5.96 states/eV per cell.

DFT (GGA-PBE) results for a geometry-optimized Rb2Ce2ZnS6 structure.

a = 7.2571 Å, b = 7.2571 Å, c = 8.0965 Å
α = 96.92°, β = 96.92°, γ = 124.58°
Atoms (fractional coordinates):
1 Rb 0.1530 0.8470 0.0000
2 Rb 0.8470 0.1530 0.0000
3 Ce 0.3345 0.6655 0.5000
4 Ce 0.6655 0.3345 0.5000
5 Zn 0.0000 0.0000 0.5000
6 S 0.0515 0.4237 0.6944
7 S 0.2361 0.2361 0.3423
8 S 0.4237 0.0515 0.6944
9 S 0.5763 0.9485 0.3056
10 S 0.7639 0.7639 0.6577
11 S 0.9485 0.5763 0.3056

Computed properties:
Its space group is C2/m. Its crystal system is monoclinic. The calculation puts the formation energy without anion corrections at -1.416 eV per atom.

Calculated M_tot in order - 3.0; 3.0; 3.0; 1.0; 2.0; 1.0; 1.5; 0.0; 1.0; 0.0 μB/cell